The following is a DFT calculation (PBE) of Rb2ScPdC after structural relaxation.

Structure (CIF):
```
data_Rb2ScPdC
_chemical_formula_sum 'Rb2 Sc1 Pd1 C1'
_symmetry_space_group_name_H-M 'P 4/m m m'
_symmetry_Int_Tables_number 123
_symmetry_space_group_name_Hall '-P 4 2'
_cell_length_a 7.159
_cell_length_b 7.159
_cell_length_c 4.744
_cell_angle_alpha 90.00
_cell_angle_beta 90.00
_cell_angle_gamma 90.00
loop_
_atom_site_label
_atom_site_fract_x
_atom_site_fract_y
_atom_site_fract_z
Rb1 0.000 0.500 0.000
Sc1 0.000 0.000 0.000
Pd1 0.000 0.000 0.500
C1 0.500 0.500 0.500
```

Summary:
Crystal system: tetragonal

***

The following is a DFT calculation (PBE) of RbPdW2C after structural relaxation.

Structure (CIF):
```
data_RbPdW2C
_chemical_formula_sum 'Rb1 Pd1 W2 C1'
_symmetry_space_group_name_H-M 'P 4/m m m'
_symmetry_Int_Tables_number 123
_symmetry_space_group_name_Hall '-P 4 2'
_cell_length_a 4.814
_cell_length_b 4.814
_cell_length_c 6.237
_cell_angle_alpha 90.00
_cell_angle_beta 90.00
_cell_angle_gamma 90.00
loop_
_atom_site_label
_atom_site_fract_x
_atom_site_fract_y
_atom_site_fract_z
Rb1 0.000 0.000 0.000
Pd1 0.000 0.000 0.500
W1 0.000 0.500 0.500
C1 0.500 0.500 0.000
```

Summary:
Crystal system: tetragonal

***

The following is a DFT calculation (PBE) of Re2PdC2 after structural relaxation.

Structure (CIF):
```
data_Re2PdC2
_chemical_formula_sum 'Re4 Pd2 C4'
_symmetry_space_group_name_H-M 'I 4/m m m'
_symmetry_Int_Tables_number 139
_symmetry_space_group_name_Hall '-I 4 2'
_cell_length_a 3.845
_cell_length_b 3.845
_cell_length_c 7.730
_cell_angle_alpha 90.00
_cell_angle_beta 90.00
_cell_angle_gamma 90.00
loop_
_atom_site_label
_atom_site_fract_x
_atom_site_fract_y
_atom_site_fract_z
Re1 0.000 0.500 0.250
Pd1 0.000 0.000 0.000
C1 0.000 0.000 0.398
```

Summary:
Polymorph energy (0 for the lowest one) in meV/atom: 0.0
Crystal system: tetragonal

***

The following is a DFT calculation (PBE) of Re3PdC after structural relaxation.

Structure (CIF):
```
data_Re3PdC
_chemical_formula_sum 'Re3 Pd1 C1'
_symmetry_space_group_name_H-M 'P m -3 m'
_symmetry_Int_Tables_number 221
_symmetry_space_group_name_Hall '-P 4 2 3'
_cell_length_a 4.682
_cell_length_b 4.682
_cell_length_c 4.682
_cell_angle_alpha 90.00
_cell_angle_beta 90.00
_cell_angle_gamma 90.00
loop_
_atom_site_label
_atom_site_fract_x
_atom_site_fract_y
_atom_site_fract_z
Re1 0.000 0.000 0.500
Pd1 0.000 0.000 0.000
C1 0.500 0.500 0.500
```

Summary:
Polymorph energy (0 for the lowest one) in meV/atom: 3618.0
Crystal system: cubic

***

The following is a DFT calculation (PBE) of Re2PdC2 after structural relaxation.

Structure (CIF):
```
data_Re2PdC2
_chemical_formula_sum 'Re4 Pd2 C4'
_symmetry_space_group_name_H-M 'P 4/m b m'
_symmetry_Int_Tables_number 127
_symmetry_space_group_name_Hall '-P 4 2ab'
_cell_length_a 6.326
_cell_length_b 6.326
_cell_length_c 2.747
_cell_angle_alpha 90.00
_cell_angle_beta 90.00
_cell_angle_gamma 90.00
loop_
_atom_site_label
_atom_site_fract_x
_atom_site_fract_y
_atom_site_fract_z
Re1 0.144 0.356 0.000
Pd1 0.000 0.000 0.500
C1 0.139 0.639 0.500
```

Summary:
Polymorph energy (0 for the lowest one) in meV/atom: 253.3
Crystal system: tetragonal

***

The following is a DFT calculation (PBE) of Re2PdC after structural relaxation.

Structure (CIF):
```
data_Re2PdC
_chemical_formula_sum 'Re8 Pd4 C4'
_symmetry_space_group_name_H-M 'I -4 2 d'
_symmetry_Int_Tables_number 122
_symmetry_space_group_name_Hall 'I -4 2bw'
_cell_length_a 4.649
_cell_length_b 4.649
_cell_length_c 12.101
_cell_angle_alpha 90.00
_cell_angle_beta 90.00
_cell_angle_gamma 90.00
loop_
_atom_site_label
_atom_site_fract_x
_atom_site_fract_y
_atom_site_fract_z
Re1 0.133 0.250 0.125
Pd1 0.000 0.000 0.500
C1 0.000 0.000 0.000
```

Summary:
Crystal system: tetragonal

***

The following is a DFT calculation (PBE) of Re3PdC after structural relaxation.

Structure (CIF):
```
data_Re3PdC
_chemical_formula_sum 'Re3 Pd1 C1'
_symmetry_space_group_name_H-M 'P m -3 m'
_symmetry_Int_Tables_number 221
_symmetry_space_group_name_Hall '-P 4 2 3'
_cell_length_a 4.080
_cell_length_b 4.080
_cell_length_c 4.080
_cell_angle_alpha 90.00
_cell_angle_beta 90.00
_cell_angle_gamma 90.00
loop_
_atom_site_label
_atom_site_fract_x
_atom_site_fract_y
_atom_site_fract_z
Re1 0.000 0.000 0.500
Pd1 0.500 0.500 0.500
C1 0.000 0.000 0.000
```

Summary:
Polymorph energy (0 for the lowest one) in meV/atom: 0.0
Crystal system: cubic

***

The following is a DFT calculation (PBE) of Ta2RePdC after structural relaxation.

Structure (CIF):
```
data_Ta2RePdC
_chemical_formula_sum 'Ta2 Re1 Pd1 C1'
_symmetry_space_group_name_H-M 'P 4/m m m'
_symmetry_Int_Tables_number 123
_symmetry_space_group_name_Hall '-P 4 2'
_cell_length_a 4.957
_cell_length_b 4.957
_cell_length_c 3.863
_cell_angle_alpha 90.00
_cell_angle_beta 90.00
_cell_angle_gamma 90.00
loop_
_atom_site_label
_atom_site_fract_x
_atom_site_fract_y
_atom_site_fract_z
Ta1 0.000 0.500 0.000
Re1 0.000 0.000 0.000
Pd1 0.500 0.500 0.500
C1 0.000 0.000 0.500
```

Summary:
Crystal system: tetragonal

***

| no. | total magnetic moment (μB/cell) | energy (eV/atom) | E_form (meV per atom) |
| --- | --- | --- | --- |
| 1 | 1.33 | -2.940 | 1596 |
| 2 | 3.66 | -4.945 | 3313 |
| 3 | 0.00 | -9.078 | 630 |
| 4 | 0.00 | -6.394 | 3958 |
| 5 | 0.00 | -8.824 | 883 |
| 6 | 0.00 | -8.786 | 1042 |
| 7 | 0.00 | -10.012 | 340 |
| 8 | 0.00 | -8.735 | 1379 |